OsWNF2 PBE with a Hubbard U optimized geometry; crystal system = tetragonal; symmetry = No. 123; ΔE to the lowest computed polymorph = 110.0 meV/atom; calculated density = 9.55 g/cm3
1.0
4.226 0.000 0.000
0.000 4.226 0.000
0.000 0.000 4.151
Os W N F
1 1 1 2
Direct
0.000 0.000 0.000
0.500 0.500 0.500
0.500 0.500 0.000
0.000 0.500 0.500
0.500 0.000 0.500